Entry 1:
The following is a DFT calculation (GGA-PBE) of a geometry-optimized KEu2N structure.

Lattice parameters (Å, degrees): 3.7317 3.7317 11.1858 80.40 80.40 60.00
Each line ends with the local moment (μB).
Atoms (fractional coordinates):
K  0.0000  0.0000  0.0000  0.01
Eu  0.8745  0.8745  0.3764  6.88
Eu  0.1255  0.1255  0.6236  6.88
N  0.5000  0.5000  0.5000  -0.16

Values from the calculation:
- space-group type = R-3m, No. 166
- energy relative to the elements, uncorrected (meV/atom) = -456

=====

Entry 2:
The following is a DFT calculation (GGA-PBE) of a geometry-optimized Li2Pm2F7 structure.

Lattice parameters (Å, degrees): 5.6784 5.4162 5.2735 96.79 89.02 106.44
Each line ends with the local moment (μB).
Atoms (fractional coordinates):
F  0.6053  0.7357  0.4235  0.01
F  0.1222  0.7402  0.5327  0.01
F  0.3947  0.2643  0.5765  0.01
F  0.0000  0.0000  0.0000  0.01
F  0.5386  0.2609  0.0395  0.01
F  0.4614  0.7391  0.9605  0.01
F  0.8778  0.2598  0.4673  0.01
Pm  0.7637  0.5656  0.7532  0.19
Pm  0.2363  0.4344  0.2468  0.19
Li  0.3110  0.9832  0.7911  0.00
Li  0.6890  0.0168  0.2089  0.00

Values from the calculation:
- space-group type = P-1, No. 2
- energy relative to the elements, uncorrected (meV/atom) = -3443

=====

Entry 3:
The following is a DFT calculation (GGA-PBE) of a geometry-optimized TaBeAs2 structure.

Lattice parameters (Å, degrees): 3.3746 3.3746 5.5162 90.00 90.00 90.00
Atoms (fractional coordinates):
As  0.0000  0.0000  0.0008
As  0.0000  0.0000  0.4992
Be  0.5000  0.5000  0.2500
Ta  0.5000  0.5000  0.7500

Values from the calculation:
- space-group type = P4/mmm, No. 123
- energy relative to the elements (eV per atom) = 0.02

=====

Entry 4:
The following is a DFT calculation (GGA-PBE) of a geometry-optimized Cr3Fe structure.

Lattice parameters (Å, degrees): 2.5021 2.5021 8.5554 81.59 81.59 60.00
Each line ends with the local moment (μB).
Atoms (fractional coordinates):
Fe  0.2500  0.2500  0.2500  0.33
Cr  0.5038  0.5038  0.4887  -0.07
Cr  0.9962  0.9962  0.0113  -0.07
Cr  0.7500  0.7500  0.7500  -0.01

Values from the calculation:
- space-group type = R-3m, No. 166
- energy relative to the elements (eV per atom) = 0.27

=====

Entry 5:
The following is a DFT calculation (GGA-PBE) of a geometry-optimized MgHg3Br8 structure.

Lattice parameters (Å, degrees): 8.0271 8.2248 8.2553 119.13 90.00 119.21
Atoms (fractional coordinates):
Hg  0.5000  0.5000  0.0000
Hg  0.0000  0.5000  0.0000
Hg  0.5000  0.0000  0.0000
Br  0.2396  0.9970  0.2293
Br  0.7481  0.4963  0.2331
Br  0.7604  0.0030  0.7707
Br  0.2312  0.4623  0.2261
Br  0.2519  0.5037  0.7669
Br  0.2426  0.0030  0.7707
Br  0.7688  0.5377  0.7739
Br  0.7574  0.9970  0.2293
Mg  0.0000  0.0000  0.0000

Values from the calculation:
- space-group type = C2/m, No. 12
- energy relative to the elements, uncorrected (meV/atom) = -669

=====

Entry 6:
The following is a DFT calculation (GGA-PBE) of a geometry-optimized Cr2NiSe structure.

Lattice parameters (Å, degrees): 4.7956 4.7956 4.7956 143.13 130.18 63.56
Atoms (fractional coordinates):
Se  0.2500  0.7500  0.5000
Cr  0.0191  0.0191  0.0000
Cr  0.4809  0.4809  0.0000
Ni  0.7500  0.2500  0.5000

Values from the calculation:
- space-group type = Immm, No. 71
- energy relative to the elements, uncorrected (meV/atom) = 285

=====

Number 1: total magnetization 14.5 μB per formula unit. Number 2: total magnetization 1.0 μB per formula unit. Number 3: total magnetization 0.0 μB per formula unit. Number 4: total magnetization 0.2 μB per formula unit. Number 5: total magnetization 0.0 μB per formula unit. Number 6: total magnetization 0.0 μB per formula unit.